EuTlGa2 | Alexandria | PBE | optimized geometry; energy above the lowest structure with this stoichiometry = 0 meV/atom; ΔE_f = -111 kJ/mol of formula units
1.0
-2.434 -3.007 2.139
3.851 -1.738 1.939
-0.477 2.931 3.577
Eu Tl Ga
1 1 2
Direct
0.500 0.500 0.500
0.500 0.000 0.000
0.000 0.000 0.500
0.000 0.500 0.000

=====

CrSn | Alexandria | PBE | optimized geometry; ΔE_f = 107 kJ/mol of formula units
1.0
6.210 0.000 0.000
0.000 5.976 0.000
0.000 0.000 4.436
Cr Sn
4 4
Direct
0.849 0.000 0.500
0.151 0.000 0.500
0.349 0.500 0.500
0.651 0.500 0.500
0.250 0.250 0.000
0.250 0.750 0.000
0.750 0.250 0.000
0.750 0.750 0.000

=====

CdCoRu | Alexandria | PBE | optimized geometry; energy above the lowest structure with this stoichiometry = 195 meV/atom; ΔE_f = 130 kJ/mol of formula units
1.0
-6.889 -0.272 2.247
-5.456 -1.758 4.043
-0.644 2.551 0.751
Cd Co Ru
1 1 1
Direct
0.997 0.997 0.003
0.325 0.325 0.675
0.679 0.679 0.321

=====

no.,N(E_F) (states/eV/atom)
1,0.63
2,0.54
3,1.25